(1)
Density functional theory data (PBE) for a relaxed structure of LaTl2Sb2.

Summary:
Formation energy from raw total energies = -1.010 eV/f.u.
Total magnetization = 0.0000 μB/atom
SG = P4/mbm (127)
DFT total energy = -18.9 eV/f.u.
E above lowest polymorph = 0.317 eV per atom

Lattice parameters (Å, degrees): 8.5757 8.5757 4.0869 90.00 90.00 90.00
With the nearest neighbours (Å) after each atom.
Fractional coordinates of all 10 atoms:
Sb (0.1733, 0.6733, 0.5000)  6 Tl 3.16-3.32
Sb (0.6733, 0.8267, 0.5000)  6 Tl 3.16-3.32
Sb (0.3267, 0.1733, 0.5000)  6 Tl 3.16-3.32
Sb (0.8267, 0.3267, 0.5000)  6 Tl 3.16-3.32
Tl (0.6276, 0.1276, 0.0000)  1 Tl 3.10, 6 Sb 3.16-3.32, 2 La 3.38
Tl (0.3724, 0.8724, 0.0000)  1 Tl 3.10, 6 Sb 3.16-3.32, 2 La 3.38
Tl (0.1276, 0.3724, 0.0000)  1 Tl 3.10, 6 Sb 3.16-3.32, 2 La 3.38
Tl (0.8724, 0.6276, 0.0000)  1 Tl 3.10, 6 Sb 3.16-3.32, 2 La 3.38
La (0.5000, 0.5000, 0.0000)  4 Tl 3.38, 8 Sb 3.77
La (0.0000, 0.0000, 0.0000)  4 Tl 3.38, 8 Sb 3.77

(2)
Density functional theory data (PBE) for a relaxed structure of LaNdYHo2.

Summary:
Energy relative to the elements = 353 meV/atom
Total magnetization = 0.0000 μB/atom
SG = Cmcm (63)
DFT total energy = -23.5 eV/f.u.

Lattice parameters (Å, degrees): 7.2433 8.4366 7.1805 125.98 90.00 90.00
With the nearest neighbours (Å) after each atom.
Fractional coordinates of all 10 atoms:
Y (0.2500, 0.7228, 0.4455)  1 Nd 3.32, 4 Ho 3.53, 2 La 3.62
Y (0.7500, 0.2772, 0.5545)  1 Nd 3.32, 4 Ho 3.53, 2 La 3.62
Ho (0.5000, 0.6874, 0.0000)  1 Ho 3.16, 2 Nd 3.20, 2 Y 3.53
Ho (0.0000, 0.6874, 0.0000)  1 Ho 3.16, 2 Nd 3.20, 2 Y 3.53
Ho (0.5000, 0.3126, 0.0000)  1 Ho 3.16, 2 Nd 3.20, 2 Y 3.53
Ho (0.0000, 0.3126, 0.0000)  1 Ho 3.16, 2 Nd 3.20, 2 Y 3.53
Nd (0.2500, 0.0084, 0.0169)  1 La 3.05, 4 Ho 3.20, 1 Y 3.32
Nd (0.7500, 0.9916, 0.9831)  1 La 3.05, 4 Ho 3.20, 1 Y 3.32
La (0.2500, 0.2709, 0.5418)  1 Nd 3.05
La (0.7500, 0.7291, 0.4582)  1 Nd 3.05

(3)
Density functional theory data (PBE) for a relaxed structure of Mg2SeCl.

Summary:
Formation energy from raw total energies = -3.130 eV/f.u.
Total magnetization = 0.0000 μB/atom
SG = I-4m2 (119)
DFT total energy = -11.7 eV/f.u.
E above lowest polymorph = 0.234 eV per atom

Lattice parameters (Å, degrees): 7.4367 7.4367 7.4367 150.46 150.46 42.26
With the nearest neighbours (Å) after each atom.
Fractional coordinates of all 4 atoms:
Se (0.5000, 0.5000, 0.0000)  4 Mg 2.68
Cl (0.7500, 0.2500, 0.5000)  4 Mg 2.68
Mg (0.0000, 0.0000, 0.0000)  4 Se 2.68
Mg (0.2500, 0.7500, 0.5000)  4 Cl 2.68

(4)
Density functional theory data (PBE) for a relaxed structure of SrPtSe2.

Summary:
Formation energy from raw total energies = -2.477 eV/f.u.
Total magnetization = 0.0000 μB/atom
SG = P4/mmm (123)
DFT total energy = -17.2 eV/f.u.
E above lowest polymorph = 0.392 eV per atom

Lattice parameters (Å, degrees): 3.6117 4.8866 4.8866 90.00 90.00 90.00
With the nearest neighbours (Å) after each atom.
Fractional coordinates of all 4 atoms:
Pt (0.5000, 0.0000, 0.5000)  8 Se 3.04
Se (0.0000, 0.5000, 0.5000)  4 Sr 3.04, 4 Pt 3.04
Se (0.0000, 0.0000, 0.0000)  4 Pt 3.04, 4 Sr 3.04
Sr (0.5000, 0.5000, 0.0000)  8 Se 3.04

(5)
Density functional theory data (PBE) for a relaxed structure of Ba2NaPaS5.

Summary:
Formation energy from raw total energies = -15.702 eV/f.u.
Total magnetization = 0.0000 μB/atom
SG = Cmc2_1 (36)
DFT total energy = -51.0 eV/f.u.

Lattice parameters (Å, degrees): 4.2420 9.1677 13.8639 90.00 90.00 103.38
With the nearest neighbours (Å) after each atom.
Fractional coordinates of all 18 atoms:
Pa (0.7788, 0.5576, 0.5230)  6 S 2.53-2.76
Pa (0.2212, 0.4424, 0.0230)  6 S 2.53-2.76
S (0.2643, 0.5286, 0.6495)  2 Pa 2.76
S (0.7357, 0.4714, 0.1495)  2 Pa 2.76
S (0.2944, 0.5887, 0.4029)  2 Pa 2.71, 1 Na 2.96
S (0.3662, 0.7323, 0.9940)  1 Pa 2.62
S (0.0829, 0.1658, 0.0648)  1 Pa 2.53, 2 Na 2.73
S (0.6338, 0.2677, 0.4940)  1 Pa 2.62
S (0.9171, 0.8342, 0.5648)  1 Pa 2.53, 2 Na 2.73
S (0.5057, 0.0115, 0.2713)  1 Na 2.65
S (0.4943, 0.9885, 0.7713)  1 Na 2.65
S (0.7056, 0.4113, 0.9029)  2 Pa 2.71, 1 Na 2.96
Na (0.5439, 0.0877, 0.9518)  4 S 2.65-2.96
Na (0.4561, 0.9123, 0.4518)  4 S 2.65-2.96
Ba (0.8707, 0.7414, 0.8014)  6 S 3.09-3.41
Ba (0.0841, 0.1682, 0.6651)  6 S 3.04-3.30
Ba (0.9159, 0.8318, 0.1651)  6 S 3.04-3.30
Ba (0.1293, 0.2586, 0.3014)  6 S 3.09-3.41

(6)
Density functional theory data (PBE) for a relaxed structure of Sc3TlGa.

Summary:
Energy relative to the elements = -224 meV/atom
Total magnetization = 0.0000 μB/atom
SG = P6_3/mmc (194)
DFT total energy = -25.5 eV/f.u.
E above lowest polymorph = 0.000 eV per atom

Lattice parameters (Å, degrees): 5.1479 7.2665 7.2665 120.00 90.00 90.00
With the nearest neighbours (Å) after each atom.
Fractional coordinates of all 10 atoms:
Ga (0.5000, 0.0000, 0.0000)  2 Ga 2.57, 6 Sc 2.70
Ga (0.0000, 0.0000, 0.0000)  2 Ga 2.57, 6 Sc 2.70
Sc (0.7500, 0.1891, 0.3779)  2 Ga 2.70
Sc (0.2500, 0.8109, 0.6221)  2 Ga 2.70
Sc (0.7500, 0.1890, 0.8110)  2 Ga 2.70
Sc (0.2500, 0.3779, 0.1891)  2 Ga 2.70
Sc (0.2500, 0.8110, 0.1890)  2 Ga 2.70
Sc (0.7500, 0.6221, 0.8109)  2 Ga 2.70
Tl (0.2500, 0.3335, 0.6665)  6 Sc 3.15
Tl (0.7500, 0.6665, 0.3335)  6 Sc 3.15